The following is a PBE calculation of a relaxed structure of DyYHo2Tm2, from the Alexandria database.

Structure (extended XYZ):
```
12
Lattice="6.916 0.000 0.000 0.000 15.948 0.000 0.000 0.000 3.476" Properties=species:S:1:pos:R:3 pbc="T T T"
Dy 0.000 0.000 0.000
Dy 3.458 7.974 1.738
Y 0.000 7.974 1.738
Y 3.458 0.000 0.000
Ho 1.726 2.512 1.738
Ho 1.732 10.486 0.000
Ho 5.184 5.462 0.000
Ho 5.190 13.436 1.738
Tm 1.725 13.471 1.738
Tm 1.733 5.497 0.000
Tm 5.183 10.451 0.000
Tm 5.191 2.477 1.738
```

- Calculated formation energy: 0.168 eV per atom
- Volume: 383 Å³/cell
- E_tot: -4.693 eV/atom
- Crystal system: orthorhombic
- Symmetry: Pnnm, No. 58
- DOS at the Fermi energy: 1.5921 states/eV/atom